Record 1
A relaxed HfZr2IrN crystal, computed with PBE.

Unit cell a=4.429 b=4.429 c=4.355 alpha=90.00 beta=90.00 gamma=90.00
Fractional positions:
Hf (0.000, 0.000, 0.500)
Zr (0.500, 0.000, 0.000)
Zr (0.000, 0.500, 0.000)
N (0.000, 0.000, 0.000)
Ir (0.500, 0.500, 0.500)

## Properties
DOS(E_F)   4.89 states/eV/cell
VASP energy   -49.1 eV per cell

***

Record 2
A relaxed Hf4MnBi2 crystal, computed with PBE.

Unit cell a=3.265 b=6.352 c=8.444 alpha=110.97 beta=90.00 gamma=90.00
Fractional positions:
Hf (0.000, 0.294, 0.209)
Hf (0.500, 0.700, 0.130)
Hf (0.500, 0.157, 0.871)
Hf (0.000, 0.563, 0.791)
Bi (0.500, 0.171, 0.493)
Bi (0.500, 0.686, 0.507)
Mn (0.000, 0.929, 0.000)

## Properties
DOS(E_F)   6.85 states/eV/cell
VASP energy   -56.1 eV per cell

***

Record 3
A relaxed InH7N2OF4 crystal, computed with PBE.

Unit cell a=6.811 b=8.791 c=9.374 alpha=90.00 beta=90.00 gamma=90.00
Fractional positions:
F (0.104, 0.032, 0.896)
F (0.558, 0.650, 0.412)
F (0.322, 0.617, 0.693)
F (0.678, 0.117, 0.807)
F (0.896, 0.532, 0.604)
F (0.822, 0.883, 0.307)
F (0.396, 0.968, 0.396)
F (0.178, 0.383, 0.193)
F (0.678, 0.812, 0.617)
F (0.822, 0.188, 0.117)
F (0.942, 0.350, 0.912)
F (0.322, 0.312, 0.883)
F (0.442, 0.150, 0.088)
F (0.178, 0.688, 0.383)
F (0.058, 0.850, 0.588)
F (0.604, 0.468, 0.104)
H (0.732, 0.495, 0.720)
H (0.268, 0.995, 0.780)
H (0.997, 0.472, 0.257)
H (0.751, 0.214, 0.460)
H (0.795, 0.787, 0.783)
H (0.450, 0.921, 0.082)
H (0.768, 0.505, 0.220)
H (0.550, 0.421, 0.418)
H (0.003, 0.972, 0.243)
H (0.573, 0.098, 0.392)
H (0.295, 0.713, 0.217)
H (0.232, 0.005, 0.280)
H (0.050, 0.079, 0.582)
H (0.097, 0.678, 0.816)
H (0.950, 0.579, 0.918)
H (0.503, 0.528, 0.757)
H (0.205, 0.287, 0.717)
H (0.427, 0.598, 0.108)
H (0.251, 0.286, 0.540)
H (0.497, 0.028, 0.743)
H (0.749, 0.786, 0.960)
H (0.073, 0.402, 0.608)
H (0.403, 0.322, 0.316)
H (0.927, 0.902, 0.892)
H (0.705, 0.213, 0.283)
H (0.597, 0.822, 0.184)
H (0.903, 0.178, 0.684)
H (0.249, 0.714, 0.040)
N (0.139, 0.295, 0.616)
N (0.515, 0.816, 0.091)
N (0.985, 0.184, 0.591)
N (0.015, 0.684, 0.909)
N (0.639, 0.205, 0.384)
N (0.485, 0.316, 0.409)
N (0.861, 0.795, 0.884)
N (0.361, 0.705, 0.116)
In (0.131, 0.207, 0.048)
In (0.369, 0.793, 0.548)
In (0.869, 0.707, 0.452)
In (0.631, 0.293, 0.952)
O (0.128, 0.016, 0.205)
O (0.372, 0.984, 0.705)
O (0.872, 0.516, 0.295)
O (0.628, 0.484, 0.795)

## Properties
DOS(E_F)   0.00 states/eV/cell
VASP energy   -294.7 eV per cell

***

Record 4
A relaxed PmHo2Zn2Ga2 crystal, computed with PBE.

Unit cell a=4.463 b=4.463 c=9.558 alpha=76.50 beta=76.50 gamma=60.00
Fractional positions:
Ho (0.872, 0.872, 0.384)
Ho (0.128, 0.128, 0.616)
Pm (0.000, 0.000, 0.000)
Zn (0.403, 0.403, 0.792)
Zn (0.597, 0.597, 0.208)
Ga (0.741, 0.741, 0.777)
Ga (0.259, 0.259, 0.223)

## Properties
DOS(E_F)   3.55 states/eV/cell
VASP energy   -25.3 eV per cell

***

Record 5
A relaxed Ag2BPtF crystal, computed with PBE.

Unit cell a=5.223 b=3.992 c=5.223 alpha=90.00 beta=90.00 gamma=90.00
Fractional positions:
B (0.500, 0.500, 0.500)
Pt (0.000, 0.000, 0.000)
F (0.000, 0.500, 0.000)
Ag (0.500, 0.000, 0.000)
Ag (0.000, 0.000, 0.500)

## Properties
DOS(E_F)   2.38 states/eV/cell
VASP energy   -14.9 eV per cell

***

Record 6
A relaxed Cr2Pt crystal, computed with PBE.

Unit cell a=5.070 b=5.070 c=6.272 alpha=77.14 beta=77.14 gamma=29.91
Fractional positions:
Pt (0.532, 0.532, 0.202)
Pt (0.468, 0.468, 0.798)
Cr (0.147, 0.147, 0.483)
Cr (0.194, 0.194, 0.854)
Cr (0.806, 0.806, 0.146)
Cr (0.853, 0.853, 0.517)

## Properties
DOS(E_F)   6.71 states/eV/cell
VASP energy   -50.8 eV per cell

***

Record 7
A relaxed Yb2CdSn crystal, computed with PBE.

Unit cell a=5.369 b=5.369 c=5.369 alpha=60.00 beta=60.00 gamma=60.00
Fractional positions:
Yb (0.000, 0.000, 0.000)
Yb (0.500, 0.500, 0.500)
Cd (0.250, 0.250, 0.250)
Sn (0.750, 0.750, 0.750)

## Properties
DOS(E_F)   1.63 states/eV/cell
VASP energy   -10.4 eV per cell

***

Record 8
A relaxed PRhC crystal, computed with PBE.

Unit cell a=2.952 b=3.588 c=3.589 alpha=77.56 beta=79.70 gamma=79.67
Fractional positions:
C (0.071, 0.831, 0.538)
Rh (0.911, 0.217, 0.924)
P (0.649, 0.647, 0.354)

## Properties
DOS(E_F)   0.50 states/eV/cell
VASP energy   -21.1 eV per cell

***

Record 9
A relaxed LiPrAlZn crystal, computed with PBE.

Unit cell a=4.825 b=4.825 c=4.825 alpha=60.00 beta=60.00 gamma=60.00
Fractional positions:
Pr (0.750, 0.750, 0.750)
Al (0.250, 0.250, 0.250)
Zn (0.500, 0.500, 0.500)
Li (0.000, 0.000, 0.000)

## Properties
DOS(E_F)   1.18 states/eV/cell
VASP energy   -12.9 eV per cell

***

Record 10
A relaxed Ti6NbW2 crystal, computed with PBE.

Unit cell a=2.752 b=7.948 c=8.583 alpha=117.58 beta=68.61 gamma=90.00
Fractional positions:
Ti (0.649, 0.999, 0.653)
Ti (0.351, 0.001, 0.347)
Ti (0.649, 0.654, 0.653)
Ti (0.500, 0.670, 0.000)
Ti (0.351, 0.346, 0.347)
Ti (0.500, 0.330, 0.000)
W (0.680, 0.666, 0.331)
W (0.320, 0.334, 0.669)
Nb (0.000, 0.000, 0.000)

## Properties
DOS(E_F)   12.46 states/eV/cell
VASP energy   -82.5 eV per cell

***

Record 11
A relaxed Cs3RbTh2Te6 crystal, computed with PBE.

Unit cell a=4.761 b=10.740 c=11.548 alpha=107.09 beta=101.90 gamma=90.00
Fractional positions:
Cs (0.500, 0.500, 0.000)
Cs (0.154, 0.834, 0.307)
Cs (0.846, 0.166, 0.693)
Te (0.971, 0.738, 0.941)
Te (0.325, 0.855, 0.649)
Te (0.319, 0.453, 0.638)
Te (0.675, 0.145, 0.351)
Te (0.029, 0.262, 0.059)
Te (0.681, 0.547, 0.362)
Rb (0.500, 0.000, 0.000)
Th (0.168, 0.335, 0.336)
Th (0.832, 0.665, 0.664)

## Properties
VASP energy   -51.9 eV per cell

***

Record 12
A relaxed Dy4BiTe2 crystal, computed with PBE.

Unit cell a=4.228 b=7.239 c=14.693 alpha=90.00 beta=90.00 gamma=106.98
Fractional positions:
Dy (0.217, 0.434, 0.632)
Dy (0.783, 0.566, 0.132)
Dy (0.783, 0.566, 0.368)
Dy (0.500, 0.000, 0.500)
Dy (0.924, 0.847, 0.750)
Dy (0.500, 0.000, 0.000)
Dy (0.076, 0.153, 0.250)
Dy (0.217, 0.434, 0.868)
Bi (0.409, 0.818, 0.250)
Bi (0.591, 0.182, 0.750)
Te (0.857, 0.714, 0.559)
Te (0.143, 0.286, 0.059)
Te (0.143, 0.286, 0.441)
Te (0.857, 0.714, 0.941)

## Properties
DOS(E_F)   10.58 states/eV/cell
VASP energy   -69.9 eV per cell